(1)
# Al2CuCl, relaxed, DFT PBE
data_Al2CuCl
_cell_length_a 3.2708
_cell_length_b 3.2708
_cell_length_c 22.1988
_cell_angle_alpha 90.00
_cell_angle_beta 90.00
_cell_angle_gamma 120.00
_symmetry_space_group_name_H-M 'R -3 m'
_symmetry_Int_Tables_number 166
_symmetry_space_group_name_Hall '-R 3 2"'
loop_
_atom_site_label
_atom_site_type_symbol
_atom_site_fract_x
_atom_site_fract_y
_atom_site_fract_z
Al1 Al 0.0000 0.0000 0.2400
Cu1 Cu 0.0000 0.0000 0.5000
Cl1 Cl 0.0000 0.0000 0.0000
# - crystal system = trigonal
# - polymorph energy (0 for the lowest one) (eV per atom) = 0.091

***

(2)
# Ag2Pd2O3, relaxed, DFT PBE
data_Ag2Pd2O3
_cell_length_a 6.179
_cell_length_b 5.145
_cell_length_c 6.839
_cell_angle_alpha 90.00
_cell_angle_beta 113.04
_cell_angle_gamma 90.00
_symmetry_space_group_name_H-M 'P 1 21/c 1'
_symmetry_Int_Tables_number 14
loop_
_symmetry_equiv_pos_as_xyz
'x,y,z'
'-x,-y,-z'
'-x,y+1/2,-z+1/2'
'x,-y+1/2,z+1/2'
loop_
_atom_site_label
_atom_site_type_symbol
_atom_site_fract_x
_atom_site_fract_y
_atom_site_fract_z
Ag1 Ag 0.094 0.191 0.315
Pd1 Pd 0.396 0.723 0.041
O1 O 0.000 0.000 0.000
O2 O 0.383 0.555 0.294
# - crystal system = monoclinic
# - energy (eV/atom) = -4.441

***

(3)
# CaLa5Th, relaxed, DFT PBE
data_CaLa5Th
_cell_length_a 5.290
_cell_length_b 5.290
_cell_length_c 9.766
_cell_angle_alpha 90.00
_cell_angle_beta 90.00
_cell_angle_gamma 90.00
_symmetry_space_group_name_H-M 'P 4/m m m'
_symmetry_Int_Tables_number 123
_symmetry_space_group_name_Hall '-P 4 2'
loop_
_atom_site_label
_atom_site_type_symbol
_atom_site_fract_x
_atom_site_fract_y
_atom_site_fract_z
Ca1 Ca 0.000 0.000 0.000
La1 La 0.000 0.500 0.278
La2 La 0.500 0.500 0.000
Th1 Th 0.000 0.000 0.500
# - ΔE_f (eV per atom) = 0.321
# - crystal system = tetragonal

***

(4)
# K2Sn2Br, relaxed, DFT PBE
data_K2Sn2Br
_cell_length_a 4.234
_cell_length_b 4.234
_cell_length_c 20.098
_cell_angle_alpha 90.00
_cell_angle_beta 90.00
_cell_angle_gamma 90.00
_symmetry_space_group_name_H-M 'I 4/m m m'
_symmetry_Int_Tables_number 139
_symmetry_space_group_name_Hall '-I 4 2'
loop_
_atom_site_label
_atom_site_type_symbol
_atom_site_fract_x
_atom_site_fract_y
_atom_site_fract_z
K1 K 0.000 0.000 0.094
Sn1 Sn 0.000 0.500 0.250
Br1 Br 0.000 0.000 0.500
# - crystal system = tetragonal
# - energy (eV/atom) = -3.077

***

(5)
# Tl2InRe, relaxed, DFT PBE
data_Tl2InRe
_cell_length_a 7.107
_cell_length_b 7.107
_cell_length_c 7.107
_cell_angle_alpha 90.00
_cell_angle_beta 90.00
_cell_angle_gamma 90.00
_symmetry_space_group_name_H-M 'F m -3 m'
_symmetry_Int_Tables_number 225
_symmetry_space_group_name_Hall '-F 4 2 3'
loop_
_atom_site_label
_atom_site_type_symbol
_atom_site_fract_x
_atom_site_fract_y
_atom_site_fract_z
Tl1 Tl 0.250 0.250 0.250
In1 In 0.000 0.000 0.000
Re1 Re 0.000 0.000 0.500
# - ΔE_f (eV per atom) = 1.108
# - crystal system = cubic
# - polymorph energy (0 for the lowest one) (eV per atom) = 0.548

***

(6)
# NpAlAg, relaxed, DFT PBE
data_NpAlAg
_cell_length_a 2.8673
_cell_length_b 2.8673
_cell_length_c 7.8534
_cell_angle_alpha 90.00
_cell_angle_beta 90.00
_cell_angle_gamma 120.00
_symmetry_space_group_name_H-M 'P 3 m 1'
_symmetry_Int_Tables_number 156
loop_
_symmetry_equiv_pos_as_xyz
'x,y,z'
'-y,x-y,z'
'-x+y,-x,z'
'-y,-x,z'
'-x+y,y,z'
'x,x-y,z'
loop_
_atom_site_label
_atom_site_type_symbol
_atom_site_fract_x
_atom_site_fract_y
_atom_site_fract_z
Np1 Np 0.0000 0.0000 0.0000
Al1 Al 0.3333 0.6667 0.6625
Ag1 Ag 0.6667 0.3333 0.3662
# - ΔE_f (eV per atom) = 0.080
# - crystal system = trigonal

***

(7)
# Ac4SmN4, relaxed, DFT PBE
data_Ac4SmN4
_cell_length_a 12.825
_cell_length_b 3.796
_cell_length_c 9.628
_cell_angle_alpha 90.00
_cell_angle_beta 120.23
_cell_angle_gamma 90.00
_symmetry_space_group_name_H-M 'C 1 2/m 1'
_symmetry_Int_Tables_number 12
loop_
_symmetry_equiv_pos_as_xyz
'x,y,z'
'-x,-y,-z'
'-x,y,-z'
'x,-y,z'
'x+1/2,y+1/2,z'
'-x+1/2,-y+1/2,-z'
'-x+1/2,y+1/2,-z'
'x+1/2,-y+1/2,z'
loop_
_atom_site_label
_atom_site_type_symbol
_atom_site_fract_x
_atom_site_fract_y
_atom_site_fract_z
Ac1 Ac 0.101 0.000 0.373
Ac2 Ac 0.208 0.500 0.814
Sm1 Sm 0.000 0.500 0.000
N1 N 0.098 0.000 0.912
N2 N 0.186 0.500 0.287
# - crystal system = monoclinic
# - energy (eV/atom) = -7.073

***

(8)
# AcLaTlGa, relaxed, DFT PBE
data_AcLaTlGa
_cell_length_a 7.946
_cell_length_b 7.946
_cell_length_c 7.946
_cell_angle_alpha 90.00
_cell_angle_beta 90.00
_cell_angle_gamma 90.00
_symmetry_space_group_name_H-M 'F -4 3 m'
_symmetry_Int_Tables_number 216
_symmetry_space_group_name_Hall 'F -4 2 3'
loop_
_atom_site_label
_atom_site_type_symbol
_atom_site_fract_x
_atom_site_fract_y
_atom_site_fract_z
Ac1 Ac 0.000 0.000 0.000
La1 La 0.000 0.000 0.500
Tl1 Tl 0.250 0.250 0.250
Ga1 Ga 0.250 0.250 0.750
# - ΔE_f (eV per atom) = -0.408
# - crystal system = cubic